[1]
12
Lattice="5.359 0.000 0.021 2.679 8.027 0.011 -0.029 0.000 7.474" Properties=species:S:1:pos:R:3 comment="La2PrAu3 | the Alexandria database | PBE | optimized geometry" vol_a3_per_cell=321.5 pbc="T T T"
La 0.000 0.000 0.000
La -0.015 0.000 3.737
La 2.665 2.673 3.747
La 5.344 5.354 3.758
Pr 2.679 2.680 0.011
Pr 5.359 5.347 0.021
Au 5.337 2.688 5.653
Au 2.672 0.000 1.869
Au 2.672 5.339 1.852
Au 5.351 2.688 1.863
Au 2.657 5.339 5.643
Au 2.657 0.000 5.626

=====

[2]
5
Lattice="4.281 0.000 0.000 0.000 4.281 0.000 0.000 0.000 4.281" Properties=species:S:1:pos:R:3 comment="ZnFe3Os | the Alexandria database | PBE | optimized geometry" relative_energy_mev_per_atom=105 vol_a3_per_cell=78.5 pbc="T T T"
Zn 0.000 0.000 0.000
Os 2.141 2.141 2.141
Fe 0.000 2.141 0.000
Fe 0.000 0.000 2.141
Fe 2.141 0.000 0.000

=====

[3]
7
Lattice="4.922 -0.938 -1.087 -1.312 4.837 -1.083 0.077 0.090 7.882" Properties=species:S:1:pos:R:3 comment="Ho2TmPd4 | the Alexandria database | PBE | optimized geometry" vol_a3_per_cell=179.0 pbc="T T T"
Ho 2.297 2.482 0.690
Ho 1.390 1.508 5.021
Tm 0.000 0.000 0.000
Pd 2.996 3.239 3.213
Pd 0.691 0.751 2.499
Pd -0.656 2.418 -0.541
Pd 2.461 -0.469 -0.544

=====

[4]
13
Lattice="4.808 0.111 2.003 2.486 6.276 1.036 -0.076 0.056 6.955" Properties=species:S:1:pos:R:3 comment="CaZn11Rh | the Alexandria database | PBE | optimized geometry" vol_a3_per_cell=208.9 pbc="T T T"
Ca 0.000 0.000 0.000
Zn 1.897 1.411 2.323
Zn 5.321 5.032 7.671
Zn 4.309 4.976 3.328
Zn 2.909 1.467 6.666
Zn 3.349 4.111 5.954
Zn 3.868 2.332 4.040
Zn 5.516 2.388 6.857
Zn 1.702 4.056 3.137
Zn 1.243 3.138 0.518
Zn 2.366 0.084 4.479
Zn -0.038 0.028 3.478
Rh 3.647 3.194 1.519

=====

[5]
4
Lattice="3.553 0.000 0.000 1.776 3.077 0.000 1.776 1.026 8.264" Properties=species:S:1:pos:R:3 comment="LuGeP2 | the Alexandria database | PBE | optimized geometry" vol_a3_per_cell=90.3 pbc="T T T"
P 1.776 1.026 5.557
P 5.329 3.077 2.707
Ge 3.553 2.051 4.132
Lu 0.000 0.000 0.000

=====

[6]
8
Lattice="3.507 0.000 0.000 0.000 7.209 -0.784 -1.754 -2.595 9.659" Properties=species:S:1:pos:R:3 comment="NdHo3Tl4 | the Alexandria database | PBE | optimized geometry" relative_energy_mev_per_atom=131 vol_a3_per_cell=237.1 pbc="T T T"
Nd 1.754 0.000 0.000
Ho 0.000 3.604 -0.392
Ho 0.000 0.442 4.071
Ho 1.754 4.172 4.804
Tl 0.000 2.288 6.712
Tl 1.754 2.326 2.163
Tl 1.754 5.401 1.828
Tl 0.000 -0.787 7.048

=====

no.,DFT formation energy (eV/atom)
1,-0.767
2,1.548
3,-0.321
4,-0.206
5,0.188
6,-0.209